Record 1
This record from the Alexandria database describes a crystal of MgHgAu2 relaxed with PBEsol. The functional is meta-GGA SCAN.

Lattice parameters (Å, degrees): 4.3945 4.8577 4.3945 63.11 90.00 116.89
Closest atoms and distances in Å follow each position.
Fractional coordinates of all 4 atoms:
Hg: 0.0000 0.0000 0.0000  8 Au 2.88, 4 Mg 3.11
Au: 0.2500 0.5000 0.2500  4 Hg 2.88, 4 Mg 2.88, 4 Au 3.11
Au: 0.7500 0.5000 0.7500  4 Hg 2.88, 4 Mg 2.88, 4 Au 3.11
Mg: 0.5000 0.0000 0.5000  8 Au 2.88, 4 Hg 3.11

- Space group: No. 139
- ΔH_f (0 K): -0.34 eV per atom
- Total magnetization: 0.0 μB per cell



Record 2
This record from the Alexandria database describes a crystal of MgHgAu relaxed with PBEsol. The functional is meta-GGA SCAN.

Lattice parameters (Å, degrees): 4.5464 4.5464 4.5464 60.00 60.00 60.00
Closest atoms and distances in Å follow each position.
Fractional coordinates of all 3 atoms:
Hg: 0.0000 0.0000 0.0000  4 Au 2.78
Au: 0.2500 0.2500 0.2500  4 Hg 2.78, 4 Mg 2.78
Mg: 0.5000 0.5000 0.5000  4 Au 2.78

- Space group: No. 216
- ΔH_f (0 K): -0.37 eV per atom
- Total magnetization: 0.0 μB per cell